(1)
The following is a PBE-GGA calculation of a relaxed structure of Fe2SiS, from Alexandria via LeMat-Bulk.

Lattice parameters (Å, degrees): 3.9954 3.9954 3.9954 60.00 60.00 60.00
Fractional coordinates of all 4 atoms:
Fe 0.2500 0.2500 0.2500
Fe 0.7500 0.7500 0.7500
Si 0.0000 0.0000 0.0000
S 0.5000 0.5000 0.5000

Computed properties:
Energy relative to the lowest polymorph listed for this composition, eV/atom: 0.0000
Calculated total energy, eV per atom: -6.535
D(E_F), states/eV per cell: 3.30

---

(2)
The following is a PBE-GGA calculation of a relaxed structure of Li5Tl2Pb2, from Alexandria via LeMat-Bulk.

Lattice parameters (Å, degrees): 5.3803 5.3803 8.2016 101.64 101.64 58.53
Fractional coordinates of all 9 atoms:
Li 0.0000 0.0000 0.0000
Li 0.1021 0.1021 0.6613
Li 0.4567 0.4567 0.6659
Li 0.5433 0.5433 0.3341
Li 0.8979 0.8979 0.3387
Tl 0.3276 0.3276 0.9637
Tl 0.6724 0.6724 0.0363
Pb 0.2254 0.2254 0.3472
Pb 0.7746 0.7746 0.6528

Computed properties:
Energy relative to the elements, eV per atom: -0.22
Energy relative to the lowest polymorph listed for this composition, eV/atom: 0.0000
Calculated total energy, eV per atom: -2.633
D(E_F), states/eV per cell: 2.56

---

(3)
The following is a PBE-GGA calculation of a relaxed structure of CaMoN3, from Alexandria via LeMat-Bulk.

Lattice parameters (Å, degrees): 9.0393 9.0393 5.2377 105.60 105.60 21.83
Fractional coordinates of all 10 atoms:
Ca 0.0000 0.0000 0.0000
Ca 0.2055 0.2055 0.1018
Mo 0.5953 0.5953 0.5446
Mo 0.8129 0.8129 0.7142
N 0.0476 0.0476 0.6036
N 0.3211 0.3211 0.9260
N 0.3935 0.3935 0.8785
N 0.5966 0.5966 0.1982
N 0.6962 0.6962 0.7458
N 0.7842 0.7842 0.3730

Computed properties:
Calculated total energy, eV per atom: -8.117
D(E_F), states/eV per cell: 0.00

---

(4)
The following is a PBE-GGA calculation of a relaxed structure of MgFe2Ir2, from Alexandria via LeMat-Bulk.

Lattice parameters (Å, degrees): 6.0520 6.0520 6.0520 143.96 143.96 51.89
Fractional coordinates of all 5 atoms:
Mg 0.0000 0.0000 0.0000
Fe 0.2500 0.7500 0.5000
Fe 0.7500 0.2500 0.5000
Ir 0.3896 0.3896 0.0000
Ir 0.6104 0.6104 0.0000

Computed properties:
Energy relative to the elements, eV per atom: 0.22
Energy relative to the lowest polymorph listed for this composition, eV/atom: 0.2364
Calculated total energy, eV per atom: -7.026
D(E_F), states/eV per cell: 6.37

---

(5)
The following is a PBE-GGA calculation of a relaxed structure of ZrScP, from Alexandria via LeMat-Bulk.

Lattice parameters (Å, degrees): 6.6911 6.6911 6.6911 148.63 132.26 58.25
Fractional coordinates of all 6 atoms:
Zr 0.1971 0.1971 0.0000
Zr 0.8029 0.8029 0.0000
Sc 0.2604 0.5000 0.7604
Sc 0.7396 0.5000 0.2396
P 0.3579 0.8579 0.5000
P 0.6421 0.1421 0.5000

Computed properties:
Energy relative to the elements, eV per atom: -0.96
Calculated total energy, eV per atom: -7.727
D(E_F), states/eV per cell: 4.81

---

(6)
The following is a PBE-GGA calculation of a relaxed structure of Ba4Zn3Ga2, from Alexandria via LeMat-Bulk.

Lattice parameters (Å, degrees): 9.0767 9.0767 7.8886 106.16 106.16 27.70
Fractional coordinates of all 9 atoms:
Ba 0.0768 0.0768 0.3900
Ba 0.2607 0.2607 0.7974
Ba 0.7393 0.7393 0.2026
Ba 0.9232 0.9232 0.6100
Zn 0.4142 0.4142 0.2390
Zn 0.5000 0.5000 0.0000
Zn 0.5858 0.5858 0.7610
Ga 0.0906 0.0906 0.9636
Ga 0.9094 0.9094 0.0364

Computed properties:
Energy relative to the elements, eV per atom: -0.21
Calculated total energy, eV per atom: -2.161
D(E_F), states/eV per cell: 8.41

---

(7)
The following is a PBE-GGA calculation of a relaxed structure of Li2MnNi6, from Alexandria via LeMat-Bulk.

Lattice parameters (Å, degrees): 6.6146 6.6146 4.1979 98.92 98.92 141.16
Fractional coordinates of all 9 atoms:
Li 0.1652 0.8348 0.0000
Li 0.8348 0.1652 0.0000
Mn 0.0000 0.0000 0.5000
Ni 0.1654 0.4975 0.6636
Ni 0.3360 0.3360 0.1669
Ni 0.4975 0.1654 0.6636
Ni 0.5025 0.8346 0.3364
Ni 0.6640 0.6640 0.8331
Ni 0.8346 0.5025 0.3364

Computed properties:
Energy relative to the elements, eV per atom: 0.08
Calculated total energy, eV per atom: -5.220
D(E_F), states/eV per cell: 10.28

---

(8)
The following is a PBE-GGA calculation of a relaxed structure of CaHo2C, from Alexandria via LeMat-Bulk.

Lattice parameters (Å, degrees): 3.6254 3.6254 9.3286 90.00 90.00 120.00
Fractional coordinates of all 4 atoms:
Ca 0.0000 0.0000 0.0000
Ho 0.3333 0.6667 0.6419
Ho 0.6667 0.3333 0.3581
C 0.0000 0.0000 0.5000

Computed properties:
Energy relative to the elements, eV per atom: -0.20
Energy relative to the lowest polymorph listed for this composition, eV/atom: 0.0000
Calculated total energy, eV per atom: -5.292
D(E_F), states/eV per cell: 3.67

---

(9)
The following is a PBE-GGA calculation of a relaxed structure of PmSm2Dy3Sb6, from Alexandria via LeMat-Bulk.

Lattice parameters (Å, degrees): 9.9056 9.9056 8.8597 102.85 102.85 25.86
Fractional coordinates of all 12 atoms:
Pm 0.0000 0.0000 0.0000
Sm 0.3333 0.3333 0.6668
Sm 0.6667 0.6667 0.3332
Dy 0.0000 0.0000 0.5000
Dy 0.3335 0.3335 0.1670
Dy 0.6665 0.6665 0.8330
Sb 0.1654 0.1654 0.5863
Sb 0.1683 0.1683 0.0801
Sb 0.4988 0.4988 0.2542
Sb 0.5012 0.5012 0.7458
Sb 0.8317 0.8317 0.9199
Sb 0.8346 0.8346 0.4137

Computed properties:
Calculated total energy, eV per atom: -5.549
D(E_F), states/eV per cell: 1.92

---

(10)
The following is a PBE-GGA calculation of a relaxed structure of LiTb2In9, from Alexandria via LeMat-Bulk.

Lattice parameters (Å, degrees): 4.6273 4.6273 13.8045 90.00 90.00 90.00
Fractional coordinates of all 12 atoms:
Li 0.0000 0.0000 0.0000
Tb 0.0000 0.0000 0.3296
Tb 0.0000 0.0000 0.6704
In 0.0000 0.5000 0.1575
In 0.0000 0.5000 0.5000
In 0.0000 0.5000 0.8425
In 0.5000 0.0000 0.1575
In 0.5000 0.0000 0.5000
In 0.5000 0.0000 0.8425
In 0.5000 0.5000 0.0000
In 0.5000 0.5000 0.3332
In 0.5000 0.5000 0.6668

Computed properties:
Energy relative to the elements, eV per atom: -0.32
Calculated total energy, eV per atom: -3.302
D(E_F), states/eV per cell: 5.66

---

(11)
The following is a PBE-GGA calculation of a relaxed structure of Fe3Hg2, from Alexandria via LeMat-Bulk.

Lattice parameters (Å, degrees): 5.2675 5.2675 7.1292 132.38 132.38 34.18
Fractional coordinates of all 5 atoms:
Fe 0.0000 0.0000 0.0000
Fe 0.3838 0.3838 0.1421
Fe 0.6162 0.6162 0.8579
Hg 0.1877 0.1877 0.6030
Hg 0.8123 0.8123 0.3970

Computed properties:
Energy relative to the elements, eV per atom: 0.38
Energy relative to the lowest polymorph listed for this composition, eV/atom: 0.0000
Calculated total energy, eV per atom: -4.822
D(E_F), states/eV per cell: 3.61

---

(12)
The following is a PBE-GGA calculation of a relaxed structure of TaV2Ga3, from Alexandria via LeMat-Bulk.

Lattice parameters (Å, degrees): 5.0323 5.0323 4.3150 90.00 90.00 120.11
Fractional coordinates of all 6 atoms:
Ta 0.0000 0.0000 0.0000
V 0.3337 0.6663 0.0000
V 0.6663 0.3337 0.0000
Ga 0.0000 0.5000 0.5000
Ga 0.5000 0.0000 0.5000
Ga 0.5000 0.5000 0.5000

Computed properties:
Energy relative to the elements, eV per atom: 0.05
Calculated total energy, eV per atom: -6.476
D(E_F), states/eV per cell: 3.99